No. 1
# CeZrBr2 | the Alexandria database | PBE | relaxed
# Total moment: 1.5 μB/cell
# N(E_F): 7.8 states/eV/f.u.
# Formation energy from raw total energies: -0.52 eV per atom
data_CeZrBr2
_symmetry_space_group_name_H-M 'R -3 m'
_symmetry_Int_Tables_number 166
_symmetry_space_group_name_Hall '-R 3 2"'
_cell_length_a 4.6424
_cell_length_b 4.6424
_cell_length_c 15.1227
_cell_angle_alpha 90.00
_cell_angle_beta 90.00
_cell_angle_gamma 120.00
loop_
_atom_site_label
_atom_site_fract_x
_atom_site_fract_y
_atom_site_fract_z
_atom_site_occupancy
Ce1 0.0000 0.0000 0.0000 1
Zr1 0.0000 0.0000 0.5000 1
Br1 0.0000 0.0000 0.2313 1

---

No. 2
# HoTm5Al3 | the Alexandria database | PBE | relaxed
# Total moment: 0.0 μB/cell
# N(E_F): 8.2 states/eV/f.u.
# Formation energy from the elements: -0.28 eV/atom
data_HoTm5Al3
_symmetry_space_group_name_H-M 'P 63/m c m'
_symmetry_Int_Tables_number 193
_symmetry_space_group_name_Hall '-P 6c 2'
_cell_length_a 8.9615
_cell_length_b 8.9615
_cell_length_c 6.5571
_cell_angle_alpha 90.00
_cell_angle_beta 90.00
_cell_angle_gamma 120.00
loop_
_atom_site_label
_atom_site_fract_x
_atom_site_fract_y
_atom_site_fract_z
_atom_site_occupancy
Ho1 0.0000 0.0000 0.0000 1
Tm1 0.0000 0.3337 0.2500 1
Tm2 0.3333 0.6667 0.0000 1
Al1 0.0000 0.3340 0.7500 1

---

No. 3
# LiCeMg6 | the Alexandria database | PBE | relaxed
# Energy above the lowest structure with this stoichiometry: 0.42 eV per formula unit
# Total moment: 2.1 μB/cell
# N(E_F): 10.1 states/eV/f.u.
# Formation energy from the elements: 0.07 eV/atom
data_LiCeMg6
_symmetry_space_group_name_H-M 'A m m 2'
_symmetry_Int_Tables_number 38
_cell_length_a 5.091
_cell_length_b 6.391
_cell_length_c 12.085
_cell_angle_alpha 90.00
_cell_angle_beta 90.00
_cell_angle_gamma 90.00
loop_
_symmetry_equiv_pos_as_xyz
'x,y,z'
'-x,-y,z'
'-x,y,z'
'x,-y,z'
'x,y+1/2,z+1/2'
'-x,-y+1/2,z+1/2'
'-x,y+1/2,z+1/2'
'x,-y+1/2,z+1/2'
loop_
_atom_site_label
_atom_site_fract_x
_atom_site_fract_y
_atom_site_fract_z
_atom_site_occupancy
Li1 0.000 0.000 0.000 1
Ce1 0.500 0.000 0.838 1
Mg1 0.000 0.000 0.459 1
Mg2 0.000 0.245 0.721 1
Mg3 0.500 0.000 0.301 1
Mg4 0.500 0.246 0.579 1

---

No. 4
# NaTlPd14 | the Alexandria database | PBE | relaxed
# Total moment: 0.0 μB/cell
# N(E_F): 32.8 states/eV/f.u.
# Formation energy from the elements: -0.04 eV/atom
data_NaTlPd14
_symmetry_space_group_name_H-M 'P 4/m m m'
_symmetry_Int_Tables_number 123
_symmetry_space_group_name_Hall '-P 4 2'
_cell_length_a 5.647
_cell_length_b 5.647
_cell_length_c 8.023
_cell_angle_alpha 90.00
_cell_angle_beta 90.00
_cell_angle_gamma 90.00
loop_
_atom_site_label
_atom_site_fract_x
_atom_site_fract_y
_atom_site_fract_z
_atom_site_occupancy
Na1 0.000 0.000 0.000 1
Tl1 0.500 0.500 0.000 1
Pd1 0.000 0.000 0.500 1
Pd2 0.000 0.500 0.000 1
Pd3 0.000 0.500 0.500 1
Pd4 0.250 0.250 0.256 1
Pd5 0.500 0.500 0.500 1

---

No. 5
# KBa2GaSb2 | the Alexandria database | PBE | relaxed
# Total moment: 0.0 μB/cell
# N(E_F): 0.2 states/eV/f.u.
# Formation energy from raw total energies: -0.61 eV per atom
data_KBa2GaSb2
_symmetry_space_group_name_H-M 'I b a m'
_symmetry_Int_Tables_number 72
_symmetry_space_group_name_Hall '-I 2 2c'
_cell_length_a 7.202
_cell_length_b 17.865
_cell_length_c 7.195
_cell_angle_alpha 90.00
_cell_angle_beta 90.00
_cell_angle_gamma 90.00
loop_
_atom_site_label
_atom_site_fract_x
_atom_site_fract_y
_atom_site_fract_z
_atom_site_occupancy
K1 0.000 0.000 0.250 1
Ba1 0.239 0.328 0.000 1
Ga1 0.000 0.500 0.250 1
Sb1 0.244 0.370 0.500 1

---

No. 6
# Sc3Ni8Pb | the Alexandria database | PBE | relaxed
# Total moment: 0.0 μB/cell
# N(E_F): 10.4 states/eV/f.u.
# Formation energy from the elements: -0.38 eV/atom
data_Sc3Ni8Pb
_symmetry_space_group_name_H-M 'P 3 m 1'
_symmetry_Int_Tables_number 156
_cell_length_a 4.9257
_cell_length_b 4.9257
_cell_length_c 8.0311
_cell_angle_alpha 90.00
_cell_angle_beta 90.00
_cell_angle_gamma 120.00
loop_
_symmetry_equiv_pos_as_xyz
'x,y,z'
'-y,x-y,z'
'-x+y,-x,z'
'-y,-x,z'
'-x+y,y,z'
'x,x-y,z'
loop_
_atom_site_label
_atom_site_fract_x
_atom_site_fract_y
_atom_site_fract_z
_atom_site_occupancy
Sc1 0.0000 0.0000 0.0000 1
Sc2 0.0000 0.0000 0.3782 1
Sc3 0.3333 0.6667 0.8615 1
Ni1 0.0015 0.5008 0.1820 1
Ni2 0.3321 0.1660 0.6943 1
Ni3 0.6667 0.3333 0.4364 1
Ni4 0.6667 0.3333 0.9417 1
Pb1 0.3333 0.6667 0.4921 1

---

No. 7
# SrScAs3 | the Alexandria database | PBE | relaxed
# Energy above the lowest structure with this stoichiometry: 0.00 eV per formula unit
# Total moment: 0.0 μB/cell
# N(E_F): 3.4 states/eV/f.u.
# Formation energy from the elements: -0.56 eV/atom
data_SrScAs3
_symmetry_space_group_name_H-M 'P m -3 m'
_symmetry_Int_Tables_number 221
_symmetry_space_group_name_Hall '-P 4 2 3'
_cell_length_a 5.138
_cell_length_b 5.138
_cell_length_c 5.138
_cell_angle_alpha 90.00
_cell_angle_beta 90.00
_cell_angle_gamma 90.00
loop_
_atom_site_label
_atom_site_fract_x
_atom_site_fract_y
_atom_site_fract_z
_atom_site_occupancy
Sr1 0.000 0.000 0.000 1
Sc1 0.500 0.500 0.500 1
As1 0.000 0.500 0.500 1

---

No. 8
# MnAgMo3 | the Alexandria database | PBE | relaxed
# Energy above the lowest structure with this stoichiometry: 0.00 eV per formula unit
# Total moment: 0.0 μB/cell
# N(E_F): 6.1 states/eV/f.u.
# Formation energy from the elements: 1.14 eV/atom
data_MnAgMo3
_symmetry_space_group_name_H-M 'P m -3 m'
_symmetry_Int_Tables_number 221
_symmetry_space_group_name_Hall '-P 4 2 3'
_cell_length_a 4.469
_cell_length_b 4.469
_cell_length_c 4.469
_cell_angle_alpha 90.00
_cell_angle_beta 90.00
_cell_angle_gamma 90.00
loop_
_atom_site_label
_atom_site_fract_x
_atom_site_fract_y
_atom_site_fract_z
_atom_site_occupancy
Mn1 0.000 0.000 0.000 1
Ag1 0.500 0.500 0.500 1
Mo1 0.000 0.000 0.500 1